Below is a geometry-optimized LiTmThNi structure, with properties calculated at the PBE level.

Total magnetization = 0.000 μB per formula unit
Fermi-level density of states = 1.16 states/eV per atom

a b c (Å): 7.019 7.019 7.019
angles (deg): 90.00 90.00 90.00
Space group F-43m (No. 216)
Inequivalent atoms, fractional coordinates:
Li 0.000 0.000 0.000 (multiplicity 4)
Tm 0.250 0.250 0.250 (multiplicity 4)
Th 0.250 0.250 0.750 (multiplicity 4)
Ni 0.000 0.000 0.500 (multiplicity 4)


Below is a geometry-optimized Li3Th2ZnNi12 structure, with properties calculated at the PBE level.

Total magnetization = 0.000 μB per formula unit
Fermi-level density of states = 0.69 states/eV per atom

a b c (Å): 5.9839 5.9839 25.7852
angles (deg): 90.00 90.00 120.00
Space group R-3m (No. 166, hexagonal axes)
Inequivalent atoms, fractional coordinates:
Li 0.0000 0.5000 0.0000 (multiplicity 9)
Th 0.0000 0.0000 0.1354 (multiplicity 6)
Zn 0.0000 0.0000 0.5000 (multiplicity 3)
Ni 0.0497 0.5248 0.8944 (multiplicity 18)
Ni 0.0722 0.5361 0.6219 (multiplicity 18)


Number 1: energy of formation -18 kJ/mol of formula units. Number 2: energy of formation 133 kJ/mol of formula units.